VASP calculation (PBE) on SrTc2Te after structural relaxation.

The space group is Pmmm (No. 47) and the conventional cell measures 4.120, 4.242 and 4.731 Å, with angles of 90.00, 90.00 and 90.00 degrees. The distinct sites, in fractional coordinates, are Sr at (0.000, 0.000, 0.000), Tc at (0.000, 0.500, 0.500), Tc at (0.500, 0.000, 0.500) and Te at (0.500, 0.500, 0.000).

Its uncorrected formation energy is 733 meV per atom. The density comes out at 8.26 Mg/m³. The uncorrected energy is -5.656 eV per atom. The value obtained for the density of states at the Fermi level is 4.7 states/eV/f.u.